! SrTl2Cr3F12 (PBE with a Hubbard U, optimized geometry); values from VASP
! symmetry: R-3m, No. 166
! theoretical density: 4.9 g/cm³
! final energy: -5.582 eV/atom
&SYSTEM
  ibrav = 0, nat = 18, ntyp = 4
/
ATOMIC_SPECIES
Sr 87.62 Sr.upf
Tl 204.38 Tl.upf
Cr 52.00 Cr.upf
F 19.00 F.upf
ATOMIC_POSITIONS crystal
Sr 0.000 0.000 0.000
Tl 0.376 0.376 0.376
Tl 0.624 0.624 0.624
Cr 0.000 0.000 0.500
Cr 0.000 0.500 0.000
Cr 0.500 0.000 0.000
F 0.090 0.727 0.727
F 0.124 0.124 0.590
F 0.124 0.590 0.124
F 0.273 0.273 0.910
F 0.273 0.910 0.273
F 0.410 0.876 0.876
F 0.590 0.124 0.124
F 0.727 0.090 0.727
F 0.727 0.727 0.090
F 0.876 0.410 0.876
F 0.876 0.876 0.410
F 0.910 0.273 0.273
CELL_PARAMETERS angstrom
3.860 2.228 5.762
-3.860 2.228 5.762
0.000 -4.457 5.762